Entry 1:
Computed, not measured: a relaxed structure of SrZnHg3 at the PBE level of DFT.

Unit cell a=4.750 b=4.750 c=11.618 alpha=90.00 beta=90.00 gamma=90.00
Space group I4mm (No. 107)
Asymmetric unit:
Sr: 0.000 0.000 0.000 x2
Zn: 0.000 0.000 0.625 x2
Hg: 0.000 0.000 0.400 x2
Hg: 0.000 0.500 0.238 x4

## Properties
Raw total energy = -10.6 eV/cell
Energy relative to the elements = -0.28 eV per atom
Crystal system = tetragonal

Entry 2:
Computed, not measured: a relaxed structure of ReIN at the PBE level of DFT.

Unit cell a=4.220 b=3.532 c=5.367 alpha=90.00 beta=90.13 gamma=90.00
Space group Pm (No. 6)
Asymmetric unit:
Re: 0.000 0.000 0.000 x1
I: 0.501 0.000 0.289 x1
N: 0.000 0.500 0.890 x1

## Properties
Raw total energy = -20.4 eV/cell
Crystal system = monoclinic

Entry 3:
Computed, not measured: a relaxed structure of SrAgTe at the PBE level of DFT.

Unit cell a=5.590 b=15.701 c=4.203 alpha=90.00 beta=90.00 gamma=90.00
Space group Cmmm (No. 65)
Asymmetric unit:
Sr: 0.000 0.152 0.000 x4
Ag: 0.241 0.000 0.500 x4
Te: 0.000 0.339 0.500 x4

## Properties
Raw total energy = -40.9 eV/cell
Crystal system = orthorhombic

Entry 4:
Computed, not measured: a relaxed structure of Cr3CoRh6 at the PBE level of DFT.

Unit cell a=7.094 b=4.238 c=9.294 alpha=90.00 beta=109.35 gamma=90.00
Space group P2_1/m (No. 11)
Asymmetric unit:
Cr: 0.106 0.250 0.234 x2
Cr: 0.293 0.250 0.033 x2
Cr: 0.304 0.750 0.368 x2
Co: 0.095 0.750 0.563 x2
Rh: 0.086 0.250 0.725 x2
Rh: 0.103 0.750 0.070 x2
Rh: 0.289 0.250 0.528 x2
Rh: 0.291 0.750 0.865 x2
Rh: 0.498 0.750 0.162 x2
Rh: 0.499 0.250 0.332 x2

## Properties
Raw total energy = -162.0 eV/cell
Energy relative to the elements = -0.09 eV per atom
Crystal system = monoclinic

Entry 5:
Computed, not measured: a relaxed structure of RbTiTl2Co at the PBE level of DFT.

Unit cell a=5.268 b=5.268 c=4.687 alpha=90.00 beta=90.00 gamma=90.00
Space group P4/mmm (No. 123)
Asymmetric unit:
Rb: 0.000 0.000 0.000 x1
Ti: 0.500 0.500 0.000 x1
Tl: 0.000 0.500 0.500 x2
Co: 0.500 0.500 0.500 x1

## Properties
Raw total energy = -18.8 eV/cell
Energy relative to the elements = 0.38 eV per atom
Crystal system = tetragonal

Entry 6:
Computed, not measured: a relaxed structure of KTaSb at the PBE level of DFT.

Unit cell a=7.130 b=7.130 c=7.130 alpha=90.00 beta=90.00 gamma=90.00
Space group F-43m (No. 216)
Asymmetric unit:
K: 0.000 0.000 0.000 x4
Ta: 0.000 0.000 0.500 x4
Sb: 0.250 0.250 0.750 x4

## Properties
Raw total energy = -56.4 eV/cell
Crystal system = cubic

| no. | M_tot (μB/f.u.) |
| --- | --- |
| 1 | 0.0 |
| 2 | 0.0 |
| 3 | 0.0 |
| 4 | 0.8 |
| 5 | 1.2 |
| 6 | 2.7 |